Density functional theory data (PBE+U) for an optimized crystal structure of K2Ni3HgF12.

* space-group type: R-3m (166)
* mass density: 4.2 g/cm3
* calculated total energy: -3.7964 eV/atom

Cell lengths 7.1184, 7.1184, 7.1184 Å; angles 62.50, 62.50, 62.50 degrees
Closest atoms and distances in Å follow each position.
Positions (direct):
Ni: 0.0000 0.5000 0.0000  6 F 1.92-1.94
Ni: 0.0000 0.0000 0.5000  6 F 1.92-1.94
Ni: 0.5000 0.0000 0.0000  6 F 1.92-1.94
F: 0.8834 0.8834 0.3966  1 Ni 1.92
F: 0.9007 0.2925 0.2925  2 Ni 1.94
F: 0.2925 0.2925 0.9007  2 Ni 1.94
F: 0.6034 0.1166 0.1166  1 Ni 1.92
F: 0.7075 0.7075 0.0993  2 Ni 1.94
F: 0.8834 0.3966 0.8834  1 Ni 1.92
F: 0.0993 0.7075 0.7075  2 Ni 1.94
F: 0.2925 0.9007 0.2925  2 Ni 1.94
F: 0.7075 0.0993 0.7075  2 Ni 1.94
F: 0.1166 0.6034 0.1166  1 Ni 1.92
F: 0.3966 0.8834 0.8834  1 Ni 1.92
F: 0.1166 0.1166 0.6034  1 Ni 1.92
K: 0.3829 0.3829 0.3829  3 F 2.73
K: 0.6171 0.6171 0.6171  3 F 2.73
Hg: 0.0000 0.0000 0.0000  6 F 2.38